Entry 1:
The following is a DFT calculation (PBE) of a relaxed CeTm2CoN4 crystal.

abc: 5.8406 5.8406 11.3556
angles: 90.00 90.00 146.79
Last column: nearest neighbours and their distance in Å.
Sites, in units of the cell vectors:
Ce (0.1082, 0.8918, 0.7500)  6 N 2.53-2.55
Ce (0.8918, 0.1082, 0.2500)  6 N 2.53-2.55
Tm (0.3694, 0.6306, 0.5496)  6 N 2.29-2.47
Tm (0.3694, 0.6306, 0.9504)  6 N 2.29-2.47
Tm (0.6306, 0.3694, 0.0496)  6 N 2.29-2.47
Tm (0.6306, 0.3694, 0.4504)  6 N 2.29-2.47
Co (0.1547, 0.8453, 0.2500)  4 N 1.90-1.97
Co (0.8453, 0.1547, 0.7500)  4 N 1.90-1.97
N (0.0000, 0.0000, 0.0000)  4 Tm 2.29
N (0.0000, 0.0000, 0.5000)  4 Tm 2.29
N (0.2718, 0.7282, 0.1284)  1 Co 1.90
N (0.2718, 0.7282, 0.3716)  1 Co 1.90
N (0.4380, 0.5620, 0.7500)  2 Co 1.97
N (0.5620, 0.4380, 0.2500)  2 Co 1.97
N (0.7282, 0.2718, 0.6284)  1 Co 1.90
N (0.7282, 0.2718, 0.8716)  1 Co 1.90

As for the uncorrected formation energy: -1.21 eV per atom. The space-group type is Cmcm. The total energy comes out at -64.94 eV/f.u.

***

Entry 2:
The following is a DFT calculation (PBE) of a relaxed CeU2CoN4 crystal.

abc: 5.8785 5.8785 11.2144
angles: 90.00 90.00 145.82
Last column: nearest neighbours and their distance in Å.
Sites, in units of the cell vectors:
Ce (0.1070, 0.8930, 0.7500)  6 N 2.52-2.70
Ce (0.8930, 0.1070, 0.2500)  6 N 2.52-2.70
U (0.3701, 0.6299, 0.5584)  6 N 2.24-2.40
U (0.3701, 0.6299, 0.9416)  6 N 2.24-2.40
U (0.6299, 0.3701, 0.0584)  6 N 2.24-2.40
U (0.6299, 0.3701, 0.4416)  6 N 2.24-2.40
Co (0.1588, 0.8412, 0.2500)  4 N 1.97-2.07
Co (0.8412, 0.1588, 0.7500)  4 N 1.97-2.07
N (0.0000, 0.0000, 0.0000)  4 U 2.35
N (0.0000, 0.0000, 0.5000)  4 U 2.35
N (0.2683, 0.7317, 0.1130)  1 Co 1.97
N (0.2683, 0.7317, 0.3870)  1 Co 1.97
N (0.4433, 0.5567, 0.7500)  2 Co 2.07, 2 U 2.30
N (0.5567, 0.4433, 0.2500)  2 Co 2.07, 2 U 2.30
N (0.7317, 0.2683, 0.6130)  1 Co 1.97
N (0.7317, 0.2683, 0.8870)  1 Co 1.97

As for the uncorrected formation energy: -1.20 eV per atom. The space-group type is Cmcm. The total energy comes out at -78.54 eV/f.u.

***

Entry 3:
The following is a DFT calculation (PBE) of a relaxed Ce2UCoN4 crystal.

abc: 5.9808 5.9808 5.9072
angles: 90.00 90.00 90.00
Last column: nearest neighbours and their distance in Å.
Sites, in units of the cell vectors:
Ce (0.0000, 0.5000, 0.0000)  8 N 2.54-2.77
Ce (0.0000, 0.5000, 0.5000)  8 N 2.54-2.77
Ce (0.5000, 0.0000, 0.0000)  8 N 2.54-2.77
Ce (0.5000, 0.0000, 0.5000)  8 N 2.54-2.77
U (0.0000, 0.0000, 0.0000)  4 N 2.27
U (0.5000, 0.5000, 0.5000)  4 N 2.27
Co (0.0000, 0.0000, 0.5000)  4 N 1.97
Co (0.5000, 0.5000, 0.0000)  4 N 1.97
N (0.1790, 0.1790, 0.2858)  1 Co 1.97
N (0.1790, 0.8210, 0.7142)  1 Co 1.97
N (0.3210, 0.3210, 0.7858)  1 Co 1.97
N (0.3210, 0.6790, 0.2142)  1 Co 1.97
N (0.6790, 0.3210, 0.2142)  1 Co 1.97
N (0.6790, 0.6790, 0.7858)  1 Co 1.97
N (0.8210, 0.1790, 0.7142)  1 Co 1.97
N (0.8210, 0.8210, 0.2858)  1 Co 1.97

As for the uncorrected formation energy: -0.63 eV per atom. The space-group type is I-42m. The total energy comes out at -68.59 eV/f.u.

***

Entry 4:
The following is a DFT calculation (PBE) of a relaxed Ce2CoWN5 crystal.

abc: 6.6260 6.6260 10.2841
angles: 90.00 90.00 151.79
Last column: nearest neighbours and their distance in Å.
Sites, in units of the cell vectors:
Ce (0.1040, 0.8960, 0.5000)  6 N 2.34-2.55
Ce (0.1432, 0.8568, 0.1234)  7 N 2.36-2.53
Ce (0.8568, 0.1432, 0.6234)  7 N 2.36-2.53
Ce (0.8960, 0.1040, 0.0000)  6 N 2.34-2.55
Co (0.4723, 0.5277, 0.2670)  4 N 1.90-2.05
Co (0.5277, 0.4723, 0.7670)  4 N 1.90-2.05
W (0.1997, 0.8003, 0.8297)  6 N 1.95-2.17
W (0.8003, 0.1997, 0.3297)  6 N 1.95-2.17
N (0.0516, 0.9484, 0.8725)  1 W 1.95, 2 Co 1.97
N (0.2835, 0.7165, 0.4628)  2 W 2.13, 1 Ce 2.34
N (0.3243, 0.6757, 0.1918)  1 Co 2.05, 2 W 2.17
N (0.3637, 0.6363, 0.8122)  1 W 2.11, 1 Co 2.16
N (0.4876, 0.5124, 0.5893)  1 Co 1.90
N (0.5124, 0.4876, 0.0893)  1 Co 1.90
N (0.6363, 0.3637, 0.3122)  1 W 2.11, 1 Co 2.16
N (0.6757, 0.3243, 0.6918)  1 Co 2.05, 2 W 2.17
N (0.7165, 0.2835, 0.9628)  2 W 2.13, 1 Ce 2.34
N (0.9484, 0.0516, 0.3725)  1 W 1.95, 2 Co 1.97

As for the uncorrected formation energy: -0.81 eV per atom. The space-group type is Cmc2_1. The total energy comes out at -80.82 eV/f.u.

***

Entry 5:
The following is a DFT calculation (PBE) of a relaxed CeZr2CoN4 crystal.

abc: 5.7349 5.7349 11.1042
angles: 90.00 90.00 147.19
Last column: nearest neighbours and their distance in Å.
Sites, in units of the cell vectors:
Ce (0.1062, 0.8938, 0.7500)  6 N 2.42-2.56
Ce (0.8938, 0.1062, 0.2500)  6 N 2.42-2.56
Zr (0.3682, 0.6318, 0.5547)  6 N 2.19-2.34
Zr (0.3682, 0.6318, 0.9453)  6 N 2.19-2.34
Zr (0.6318, 0.3682, 0.0547)  6 N 2.19-2.34
Zr (0.6318, 0.3682, 0.4453)  6 N 2.19-2.34
Co (0.1557, 0.8443, 0.2500)  4 N 1.94-1.95
Co (0.8443, 0.1557, 0.7500)  4 N 1.94-1.95
N (0.0000, 0.0000, 0.0000)  4 Zr 2.26
N (0.0000, 0.0000, 0.5000)  4 Zr 2.26
N (0.2719, 0.7281, 0.1183)  1 Co 1.94
N (0.2719, 0.7281, 0.3817)  1 Co 1.94
N (0.4428, 0.5572, 0.7500)  2 Co 1.95
N (0.5572, 0.4428, 0.2500)  2 Co 1.95
N (0.7281, 0.2719, 0.6183)  1 Co 1.94
N (0.7281, 0.2719, 0.8817)  1 Co 1.94

As for the uncorrected formation energy: -1.33 eV per atom. The space-group type is Cmcm. The total energy comes out at -74.09 eV/f.u.

***

Entry 6:
The following is a DFT calculation (PBE) of a relaxed NaCe2Co crystal.

abc: 3.7161 3.7161 31.0074
angles: 90.00 90.00 120.00
Last column: nearest neighbours and their distance in Å.
Sites, in units of the cell vectors:
Na (0.0000, 0.0000, 0.0000)  2 Ce 3.62, 6 Na 3.72
Na (0.3333, 0.6667, 0.6667)  2 Ce 3.62, 6 Na 3.72
Na (0.6667, 0.3333, 0.3333)  2 Ce 3.62, 6 Na 3.72
Ce (0.0000, 0.0000, 0.1167)  3 Co 2.65
Ce (0.0000, 0.0000, 0.8833)  3 Co 2.65
Ce (0.3333, 0.6667, 0.5500)  3 Co 2.65
Ce (0.3333, 0.6667, 0.7833)  3 Co 2.65
Ce (0.6667, 0.3333, 0.2167)  3 Co 2.65
Ce (0.6667, 0.3333, 0.4500)  3 Co 2.65
Co (0.0000, 0.0000, 0.5000)  6 Ce 2.65
Co (0.3333, 0.6667, 0.1667)  6 Ce 2.65
Co (0.6667, 0.3333, 0.8333)  6 Ce 2.65

The space-group type is R-3m. The total energy comes out at -19.91 eV/f.u.